# 1
KMnBe2F8: relaxed, GGA+U.

Unit cell a=4.8201 b=4.8201 c=8.2925 alpha=73.10 beta=73.10 gamma=60.00
Last column: nearest neighbours and their distance in Å.
Fractional coordinates of all 12 atoms:
F: 0.7513 0.0035 0.8552  1 Be 1.59
Mn: 0.0000 0.0000 0.0000  6 F 1.92
F: 0.9965 0.6099 0.1448  1 Be 1.59
Be: 0.7393 0.7393 0.7821  4 F 1.49-1.59
Be: 0.2607 0.2607 0.2179  4 F 1.49-1.59
F: 0.0035 0.3901 0.8552  1 Be 1.59
F: 0.6099 0.2487 0.1448  1 Be 1.59
F: 0.2487 0.9965 0.1448  1 Be 1.59
F: 0.3901 0.7513 0.8552  1 Be 1.59
K: 0.5000 0.5000 0.5000  6 F 2.87
F: 0.8028 0.8028 0.5915  1 Be 1.49
F: 0.1972 0.1972 0.4085  1 Be 1.49

Values from the calculation:
The calculation puts the total energy at -5.339 eV per atom.

# 2
KMn2BeF8: relaxed, GGA+U.

Unit cell a=4.9269 b=4.9184 c=6.6827 alpha=92.98 beta=92.97 gamma=81.15
Last column: nearest neighbours and their distance in Å.
Fractional coordinates of all 12 atoms:
F: 0.8063 0.1781 0.8208  1 Be 1.69
F: 0.8225 0.1944 0.1792  1 Be 1.69
F: 0.1937 0.8219 0.1792  1 Be 1.69
Be: 0.0000 0.0000 0.0000  4 F 1.69
F: 0.1775 0.8056 0.8208  1 Be 1.69
F: 0.6900 0.6910 0.9924  1 Mn 1.97
F: 0.6579 0.6591 0.4809  1 Mn 2.00
Mn: 0.4948 0.4948 0.2318  4 F 1.97-2.05
F: 0.3100 0.3090 0.0076  1 Mn 1.97
K: 0.0000 0.0000 0.5000  6 F 2.46-2.55
Mn: 0.5052 0.5052 0.7682  4 F 1.97-2.05
F: 0.3421 0.3409 0.5191  1 Mn 2.00

Values from the calculation:
The calculation puts the total energy at -5.503 eV per atom.

# 3
K2MnBeF6: relaxed, GGA+U.

Unit cell a=5.6168 b=5.6164 c=5.6163 alpha=60.00 beta=60.00 gamma=59.99
Last column: nearest neighbours and their distance in Å.
Fractional coordinates of all 10 atoms:
F: 0.0871 0.5453 0.8225  1 Be 1.82
Be: 0.3161 0.3160 0.0518  6 F 1.82
F: 0.5454 0.5451 0.8224  1 Be 1.82
Mn: 0.8161 0.8161 0.5516  6 F 2.15
F: 0.5450 0.0872 0.8225  1 Be 1.82
K: 0.0662 0.0660 0.8015  12 F 2.81
F: 0.0870 0.0873 0.2805  1 Be 1.82
F: 0.0873 0.5451 0.2805  1 Be 1.82
K: 0.5661 0.5663 0.3014  12 F 2.81
F: 0.5452 0.0870 0.2805  1 Be 1.82

Values from the calculation:
The calculation puts the total energy at -5.295 eV per atom.

# 4
KBeMoF6: relaxed, GGA+U.

Unit cell a=5.2136 b=5.2261 c=5.7602 alpha=90.07 beta=90.03 gamma=59.88
Last column: nearest neighbours and their distance in Å.
Fractional coordinates of all 9 atoms:
Be: 0.3338 0.3332 0.5000  6 F 1.79-1.80
K: 0.9991 0.0003 0.0000  6 F 2.68
F: 0.0437 0.6104 0.6775  1 Be 1.80
F: 0.0438 0.3460 0.3222  1 Be 1.80
F: 0.3467 0.6093 0.3213  1 Be 1.80
F: 0.6103 0.0436 0.3228  1 Be 1.79
Mo: 0.6658 0.6670 0.5000  6 F 2.10-2.11
F: 0.3466 0.0440 0.6788  1 Be 1.80
F: 0.6100 0.3463 0.6774  1 Be 1.79

Values from the calculation:
The calculation puts the total energy at -5.350 eV per atom.